Mo6Ru7 (GGA-PBE, relaxed); crystal system = trigonal; formation energy from the elements = 0.15 eV/atom; volume = 197.5 Å³ per cell
1.0
2.539 1.466 8.845
-2.539 1.466 8.845
0.000 -2.931 8.845
Mo Ru
6 7
direct
0.047 0.047 0.047
0.149 0.149 0.149
0.336 0.336 0.336
0.664 0.664 0.664
0.851 0.851 0.851
0.953 0.953 0.953
0.081 0.592 0.592
0.408 0.408 0.919
0.408 0.919 0.408
0.500 0.500 0.500
0.592 0.081 0.592
0.592 0.592 0.081
0.919 0.408 0.408


Mo5Ru4 (GGA-PBE, relaxed); crystal system = hexagonal; formation energy from the elements = 0.14 eV/atom; volume = 272.6 Å³ per cell
1.0
7.612 0.000 0.000
-3.806 6.592 0.000
0.000 0.000 5.433
Mo Ru
10 8
direct
0.000 0.340 0.250
0.000 0.660 0.750
0.333 0.667 0.000
0.333 0.667 0.500
0.340 0.000 0.250
0.340 0.340 0.750
0.660 0.000 0.750
0.660 0.660 0.250
0.667 0.333 0.000
0.667 0.333 0.500
0.000 0.000 0.000
0.000 0.000 0.500
0.000 0.323 0.750
0.000 0.677 0.250
0.323 0.000 0.750
0.323 0.323 0.250
0.677 0.000 0.250
0.677 0.677 0.750


Mo17Ru12 (GGA-PBE, relaxed); crystal system = cubic; formation energy from the elements = 0.05 eV/atom; volume = 443.7 Å³ per cell
1.0
-4.805 4.805 4.805
4.805 -4.805 4.805
4.805 4.805 -4.805
Mo Ru
17 12
direct
0.000 0.000 0.000
0.000 0.000 0.648
0.000 0.392 0.683
0.000 0.648 0.000
0.000 0.683 0.392
0.291 0.608 0.608
0.317 0.317 0.709
0.317 0.709 0.317
0.352 0.352 0.352
0.392 0.000 0.683
0.392 0.683 0.000
0.608 0.291 0.608
0.608 0.608 0.291
0.648 0.000 0.000
0.683 0.000 0.392
0.683 0.392 0.000
0.709 0.317 0.317
0.000 0.191 0.373
0.000 0.373 0.191
0.182 0.809 0.809
0.191 0.000 0.373
0.191 0.373 0.000
0.373 0.000 0.191
0.373 0.191 0.000
0.627 0.627 0.818
0.627 0.818 0.627
0.809 0.182 0.809
0.809 0.809 0.182
0.818 0.627 0.627


Mo3Ru4 (GGA-PBE, relaxed); crystal system = tetragonal; formation energy from the elements = 0.25 eV/atom; volume = 212.0 Å³ per cell
1.0
3.192 0.000 0.000
0.000 3.192 0.000
0.000 0.000 20.801
Mo Ru
6 8
direct
0.000 0.000 0.000
0.000 0.000 0.290
0.000 0.000 0.710
0.500 0.500 0.210
0.500 0.500 0.500
0.500 0.500 0.790
0.000 0.000 0.149
0.000 0.000 0.434
0.000 0.000 0.566
0.000 0.000 0.851
0.500 0.500 0.066
0.500 0.500 0.351
0.500 0.500 0.649
0.500 0.500 0.934


Mo4Ru (GGA-PBE, relaxed); crystal system = tetragonal; formation energy from the elements = 0.09 eV/atom; volume = 155.3 Å³ per cell
1.0
7.028 0.000 0.000
0.000 7.028 0.000
0.000 0.000 3.144
Mo Ru
8 2
direct
0.108 0.305 0.000
0.195 0.608 0.500
0.305 0.892 0.000
0.392 0.195 0.500
0.608 0.805 0.500
0.695 0.108 0.000
0.805 0.392 0.500
0.892 0.695 0.000
0.000 0.000 0.500
0.500 0.500 0.000


Mo8Ru7 (GGA-PBE, relaxed); crystal system = tetragonal; formation energy from the elements = 0.04 eV/atom; volume = 453.5 Å³ per cell
1.0
9.589 0.000 0.000
0.000 9.589 0.000
0.000 0.000 4.933
Mo Ru
16 14
direct
0.039 0.366 0.000
0.134 0.539 0.500
0.178 0.822 0.250
0.178 0.822 0.750
0.322 0.322 0.250
0.322 0.322 0.750
0.366 0.039 0.000
0.461 0.866 0.500
0.539 0.134 0.500
0.634 0.961 0.000
0.678 0.678 0.250
0.678 0.678 0.750
0.822 0.178 0.250
0.822 0.178 0.750
0.866 0.461 0.500
0.961 0.634 0.000
0.000 0.000 0.500
0.070 0.264 0.500
0.098 0.098 0.000
0.236 0.570 0.000
0.264 0.070 0.500
0.402 0.598 0.500
0.430 0.764 0.000
0.500 0.500 0.000
0.570 0.236 0.000
0.598 0.402 0.500
0.736 0.930 0.500
0.764 0.430 0.000
0.902 0.902 0.000
0.930 0.736 0.500


Mo4Ru (GGA-PBE, relaxed); crystal system = orthorhombic; formation energy from the elements = 0.06 eV/atom; volume = 77.7 Å³ per cell
1.0
0.000 2.195 11.066
1.599 0.000 11.066
1.599 2.195 0.000
Mo Ru
4 1
direct
0.098 0.098 0.902
0.301 0.301 0.699
0.699 0.699 0.301
0.902 0.902 0.098
0.500 0.500 0.500


Mo3Ru4 (GGA-PBE, relaxed); crystal system = hexagonal; formation energy from the elements = 0.31 eV/atom; volume = 107.0 Å³ per cell
1.0
5.021 0.000 0.000
-2.511 4.348 0.000
0.000 0.000 4.901
Mo Ru
3 4
direct
0.000 0.500 0.000
0.500 0.000 0.000
0.500 0.500 0.000
0.000 0.000 0.261
0.000 0.000 0.739
0.333 0.667 0.500
0.667 0.333 0.500


Mo7Ru (GGA-PBE, relaxed); crystal system = cubic; formation energy from the elements = 0.31 eV/atom; volume = 125.9 Å³ per cell
1.0
0.000 3.978 3.978
3.978 0.000 3.978
3.978 3.978 0.000
Mo Ru
7 1
direct
0.000 0.000 0.000
0.000 0.000 0.500
0.000 0.500 0.000
0.000 0.500 0.500
0.500 0.000 0.000
0.500 0.000 0.500
0.500 0.500 0.000
0.500 0.500 0.500


MoRuS2 (GGA-PBE, relaxed); crystal system = tetragonal; volume = 293.2 Å³ per cell; formation energy without anion corrections = -0.1172 eV/atom
1.0
5.326 0.000 0.000
0.000 5.326 0.000
0.000 0.000 10.337
Mo Ru S
4 4 8
direct
0.000 0.000 0.000
0.000 0.500 0.250
0.500 0.000 0.750
0.500 0.500 0.500
0.000 0.000 0.500
0.000 0.500 0.750
0.500 0.000 0.250
0.500 0.500 0.000
0.243 0.250 0.625
0.250 0.743 0.875
0.250 0.757 0.375
0.257 0.250 0.125
0.743 0.750 0.125
0.750 0.243 0.375
0.750 0.257 0.875
0.757 0.750 0.625


MoRu3S (GGA-PBE, relaxed); crystal system = cubic; volume = 79.6 Å³ per cell; formation energy without anion corrections = 0.7696 eV/atom
1.0
4.301 0.000 0.000
0.000 4.301 0.000
0.000 0.000 4.301
Mo Ru S
1 3 1
direct
0.000 0.000 0.000
0.000 0.500 0.500
0.500 0.000 0.500
0.500 0.500 0.000
0.500 0.500 0.500


Mo3RuS4 (GGA-PBE, relaxed); crystal system = orthorhombic; volume = 273.7 Å³ per cell; formation energy without anion corrections = -0.2430 eV/atom
1.0
7.453 0.000 0.000
0.000 6.126 0.000
0.000 0.000 5.995
Mo Ru S
6 2 8
direct
0.000 0.249 0.000
0.227 0.116 0.340
0.273 0.884 0.840
0.500 0.751 0.500
0.727 0.884 0.840
0.773 0.116 0.340
0.000 0.505 0.332
0.500 0.495 0.832
0.000 0.237 0.593
0.000 0.664 0.969
0.189 0.757 0.478
0.311 0.243 0.978
0.500 0.336 0.469
0.500 0.763 0.093
0.689 0.243 0.978
0.811 0.757 0.478


MoRuS2 (GGA-PBE, relaxed); crystal system = trigonal; volume = 188.3 Å³ per cell; formation energy without anion corrections = -0.2131 eV/atom
1.0
3.047 0.000 0.000
-1.524 2.639 0.000
0.000 0.000 23.413
Mo Ru S
3 3 6
direct
0.000 0.000 0.000
0.333 0.667 0.667
0.667 0.333 0.333
0.000 0.000 0.500
0.333 0.667 0.167
0.667 0.333 0.833
0.000 0.000 0.404
0.000 0.000 0.596
0.333 0.667 0.071
0.333 0.667 0.262
0.667 0.333 0.738
0.667 0.333 0.929


MoRuS2 (GGA-PBE, relaxed); crystal system = cubic; volume = 215.4 Å³ per cell; formation energy without anion corrections = -0.0232 eV/atom
1.0
5.995 0.000 0.000
0.000 5.995 0.000
0.000 0.000 5.995
Mo Ru S
4 4 8
direct
0.000 0.000 0.000
0.000 0.500 0.500
0.500 0.000 0.500
0.500 0.500 0.000
0.000 0.000 0.500
0.000 0.500 0.000
0.500 0.000 0.000
0.500 0.500 0.500
0.250 0.250 0.250
0.250 0.250 0.750
0.250 0.750 0.250
0.250 0.750 0.750
0.750 0.250 0.250
0.750 0.250 0.750
0.750 0.750 0.250
0.750 0.750 0.750


MoRu3S (GGA-PBE, relaxed); crystal system = cubic; volume = 103.1 Å³ per cell; formation energy without anion corrections = 1.8747 eV/atom
1.0
4.688 0.000 0.000
0.000 4.688 0.000
0.000 0.000 4.688
Mo Ru S
1 3 1
direct
0.000 0.000 0.000
0.000 0.000 0.500
0.000 0.500 0.000
0.500 0.000 0.000
0.500 0.500 0.500


VMoRuS2 (GGA-PBE, relaxed); crystal system = tetragonal; volume = 95.8 Å³ per cell; formation energy without anion corrections = 1.2473 eV/atom
1.0
4.506 0.000 0.000
0.000 4.506 0.000
0.000 0.000 4.720
V Mo Ru S
1 1 1 2
direct
0.000 0.000 0.000
0.500 0.500 0.000
0.500 0.500 0.500
0.000 0.500 0.500
0.500 0.000 0.500


YMo2RuS (GGA-PBE, relaxed); crystal system = tetragonal; volume = 105.0 Å³ per cell; formation energy without anion corrections = 0.8496 eV/atom
1.0
4.796 0.000 0.000
0.000 4.796 0.000
0.000 0.000 4.564
Y Mo Ru S
1 2 1 1
direct
0.000 0.000 0.000
0.000 0.500 0.500
0.500 0.000 0.500
0.500 0.500 0.500
0.500 0.500 0.000


Sb3MoRu (GGA-PBE, relaxed); crystal system = cubic; volume = 133.0 Å³ per cell; formation energy without anion corrections = 1.0294 eV/atom
1.0
5.104 0.000 0.000
0.000 5.104 0.000
0.000 0.000 5.104
Sb Mo Ru
3 1 1
direct
0.000 0.000 0.500
0.000 0.500 0.000
0.500 0.000 0.000
0.500 0.500 0.500
0.000 0.000 0.000


SbMo2Ru (GGA-PBE, relaxed); crystal system = orthorhombic; volume = 133.0 Å³ per cell; formation energy without anion corrections = 0.2872 eV/atom
1.0
5.229 0.000 0.000
0.000 8.514 0.000
0.000 0.000 2.987
Sb Mo Ru
2 4 2
direct
0.000 0.000 0.000
0.500 0.500 0.000
0.250 0.250 0.500
0.250 0.750 0.500
0.750 0.250 0.500
0.750 0.750 0.500
0.000 0.500 0.000
0.500 0.000 0.000


SbMoRu2 (GGA-PBE, relaxed); crystal system = tetragonal; volume = 375.9 Å³ per cell; formation energy without anion corrections = 0.8011 eV/atom
1.0
5.720 0.000 0.000
0.000 5.720 0.000
0.000 0.000 11.486
Sb Mo Ru
4 4 8
direct
0.000 0.000 0.000
0.000 0.500 0.250
0.500 0.000 0.750
0.500 0.500 0.500
0.000 0.000 0.500
0.000 0.500 0.750
0.500 0.000 0.250
0.500 0.500 0.000
0.225 0.250 0.625
0.250 0.725 0.875
0.250 0.775 0.375
0.275 0.250 0.125
0.725 0.750 0.125
0.750 0.225 0.375
0.750 0.275 0.875
0.775 0.750 0.625


Sb2MoRu2 (GGA-PBE, relaxed); crystal system = tetragonal; volume = 173.7 Å³ per cell; formation energy without anion corrections = 0.2927 eV/atom
1.0
7.614 0.000 0.000
0.000 7.614 0.000
0.000 0.000 2.996
Sb Mo Ru
4 2 4
direct
0.155 0.345 0.000
0.345 0.845 0.000
0.655 0.155 0.000
0.845 0.655 0.000
0.000 0.000 0.000
0.500 0.500 0.000
0.145 0.645 0.500
0.355 0.145 0.500
0.645 0.855 0.500
0.855 0.355 0.500


SbMo2Ru (GGA-PBE, relaxed); crystal system = tetragonal; volume = 130.5 Å³ per cell; formation energy without anion corrections = 0.1075 eV/atom
1.0
3.842 0.000 0.000
0.000 3.842 0.000
0.000 0.000 8.840
Sb Mo Ru
2 4 2
direct
0.000 0.000 0.000
0.500 0.500 0.500
0.000 0.500 0.250
0.000 0.500 0.750
0.500 0.000 0.250
0.500 0.000 0.750
0.000 0.000 0.500
0.500 0.500 0.000


SbMo2Ru (GGA-PBE, relaxed); crystal system = tetragonal; volume = 290.7 Å³ per cell; formation energy without anion corrections = 0.6340 eV/atom
1.0
7.339 0.000 0.000
0.000 7.339 0.000
0.000 0.000 5.397
Sb Mo Ru
4 8 4
direct
0.000 0.000 0.000
0.000 0.500 0.250
0.500 0.000 0.750
0.500 0.500 0.500
0.220 0.750 0.625
0.250 0.220 0.375
0.250 0.280 0.875
0.280 0.750 0.125
0.720 0.250 0.125
0.750 0.720 0.875
0.750 0.780 0.375
0.780 0.250 0.625
0.000 0.000 0.500
0.000 0.500 0.750
0.500 0.000 0.250
0.500 0.500 0.000